1.
This record from the Alexandria database describes a relaxed Na2TbAs2O6 crystal. The functional is PBE.

Cell and atoms, written as POSCAR:
```
Na2TbAs2O6
1.0
-2.468 5.155 0.960
-1.212 -4.484 3.467
4.516 1.506 3.526
O As Tb Na
6 2 1 2
direct
0.636 0.908 0.772
0.092 0.728 0.772
0.728 0.636 0.228
0.272 0.364 0.772
0.908 0.272 0.228
0.364 0.092 0.228
0.667 0.333 0.098
0.333 0.667 0.902
0.000 0.000 0.000
0.333 0.667 0.405
0.667 0.333 0.595
```

- Formation energy from raw total energies: -20.17 eV/f.u.
- Space-group type: P-3 (147)



2.
This record from the Alexandria database describes a relaxed SmDy4Cu5 crystal. The functional is PBE.

Cell and atoms, written as POSCAR:
```
SmDy4Cu5
1.0
-0.717 -3.034 -1.510
3.387 -0.585 -0.432
0.625 -7.950 15.681
Dy Cu Sm
4 5 1
direct
0.000 0.000 0.203
0.000 0.000 0.797
0.000 0.000 0.599
0.000 0.000 0.401
0.500 0.500 0.302
0.500 0.500 0.698
0.500 0.500 0.500
0.500 0.500 0.106
0.500 0.500 0.894
0.000 0.000 0.000
```

- Energy of formation: -233 kJ/mol of formula units
- Space-group type: P4/mmm (123)



3.
This record from the Alexandria database describes a relaxed ScCo2Re2 crystal. The functional is PBE.

Cell and atoms, written as POSCAR:
```
ScCo2Re2
1.0
7.414 0.000 0.000
0.000 7.414 0.000
0.000 0.000 2.623
Re Sc Co
4 2 4
direct
0.377 0.877 0.000
0.123 0.377 0.000
0.623 0.123 0.000
0.877 0.623 0.000
0.000 0.000 0.000
0.500 0.500 0.000
0.171 0.671 0.500
0.671 0.829 0.500
0.829 0.329 0.500
0.329 0.171 0.500
```

- Energy of formation: 27 kJ/mol of formula units
- ΔE to the lowest computed polymorph: 0.9 kJ/mol of atoms
- Space-group type: P4/mbm (127)



Calculated total moment in order - 1.06; 0.00; 0.56 Bohr magnetons per cell